The following is a PBE calculation of an optimized crystal structure of ZnCoNi2, from the Alexandria database.

Cell: 2.5595 3.5092 5.1294 Å, 90.00 90.00 90.00°
Last column: magnetic moment on the atom in μB.
Element x y z (fractional)
1 Ni 0.0000 0.0000 0.9895  0.44
2 Ni 0.0000 0.0000 0.5105  0.44
3 Co 0.5000 0.5000 0.7500  1.70
4 Zn 0.5000 0.5000 0.2500  -0.03

Properties
Total moment = 2.457 μB per formula unit
Total DFT energy (no corrections) = -5.05 eV/atom
Space-group type = No. 47

The following is a PBE calculation of an optimized crystal structure of Zn2CoNi2, from the Alexandria database.

Cell: 6.5326 6.5326 6.5326 Å, 150.83 150.83 41.73°
Last column: magnetic moment on the atom in μB.
Element x y z (fractional)
1 Co 0.0000 0.0000 0.0000  1.32
2 Ni 0.7500 0.2500 0.5000  -0.20
3 Ni 0.2500 0.7500 0.5000  -0.20
4 Zn 0.5994 0.5994 0.0000  -0.03
5 Zn 0.4006 0.4006 0.0000  -0.03

Properties
Total moment = 0.820 μB per formula unit
Total DFT energy (no corrections) = -3.97 eV/atom
Space-group type = No. 139

The following is a PBE calculation of an optimized crystal structure of Zn2CoNi, from the Alexandria database.

Cell: 4.8717 4.8717 4.4260 Å, 66.53 66.53 30.73°
Last column: magnetic moment on the atom in μB.
Element x y z (fractional)
1 Ni 0.2433 0.2433 0.1736  0.19
2 Zn 0.7564 0.7564 0.6680  -0.02
3 Zn 0.9931 0.9931 0.0828  -0.03
4 Co 0.5072 0.5072 0.5756  1.24

Properties
Total moment = 1.332 μB per formula unit
Total DFT energy (no corrections) = -3.94 eV/atom
Space-group type = No. 8

The following is a PBE calculation of an optimized crystal structure of ZnCoNi2, from the Alexandria database.

Cell: 4.0265 4.0265 4.0265 Å, 60.00 60.00 60.00°
Last column: magnetic moment on the atom in μB.
Element x y z (fractional)
1 Zn 0.7500 0.7500 0.7500  -0.04
2 Ni 0.0000 0.0000 0.0000  0.34
3 Ni 0.2500 0.2500 0.2500  0.60
4 Co 0.5000 0.5000 0.5000  1.55

Properties
Total moment = 2.347 μB per formula unit
Total DFT energy (no corrections) = -4.98 eV/atom
Space-group type = No. 216

The following is a PBE calculation of an optimized crystal structure of ZnCoNi, from the Alexandria database.

Cell: 5.6576 5.6576 5.6576 Å, 153.80 153.80 37.39°
Last column: magnetic moment on the atom in μB.
Element x y z (fractional)
1 Zn 0.6676 0.6676 0.0000  -0.04
2 Co 0.9927 0.9927 0.0000  1.47
3 Ni 0.3397 0.3397 0.0000  0.43

Properties
Total moment = 1.791 μB per formula unit
Total DFT energy (no corrections) = -4.77 eV/atom
Space-group type = No. 107

The following is a PBE calculation of an optimized crystal structure of ZnCoNi, from the Alexandria database.

Cell: 4.2968 2.5951 12.7282 Å, 90.00 97.41 90.00°
Last column: magnetic moment on the atom in μB.
Element x y z (fractional)
1 Co 0.7509 0.5000 0.2470  1.58
2 Co 0.2491 0.5000 0.7530  1.58
3 Co 0.7509 0.0000 0.7470  1.58
4 Co 0.2491 0.0000 0.2530  1.58
5 Ni 0.1585 0.0000 0.9124  0.26
6 Ni 0.1585 0.5000 0.4124  0.26
7 Ni 0.8415 0.0000 0.0876  0.26
8 Ni 0.8415 0.5000 0.5876  0.26
9 Zn 0.3340 0.5000 0.0829  -0.03
10 Zn 0.6660 0.5000 0.9171  -0.03
11 Zn 0.6660 0.0000 0.4171  -0.03
12 Zn 0.3340 0.0000 0.5829  -0.03

Properties
Total moment = 1.753 μB per formula unit
Total DFT energy (no corrections) = -4.79 eV/atom
Space-group type = No. 12

The following is a PBE calculation of an optimized crystal structure of ZnCoNi, from the Alexandria database.

Cell: 4.4387 7.6223 4.4113 Å, 90.00 109.32 90.00°
Last column: magnetic moment on the atom in μB.
Element x y z (fractional)
1 Ni 0.5000 0.2662 0.5000  0.32
2 Ni 0.0000 0.9358 0.0000  0.41
3 Ni 0.0000 0.4358 0.5000  0.41
4 Ni 0.5000 0.7662 0.0000  0.32
5 Zn 0.5000 0.9349 0.5000  -0.02
6 Zn 0.5000 0.1006 0.0000  -0.02
7 Zn 0.5000 0.6006 0.5000  -0.02
8 Zn 0.5000 0.4349 0.0000  -0.02
9 Co 0.0000 0.6106 0.0000  1.59
10 Co 0.0000 0.7728 0.5000  1.51
11 Co 0.0000 0.2728 0.0000  1.51
12 Co 0.0000 0.1106 0.5000  1.59

Properties
Total moment = 1.843 μB per formula unit
Total DFT energy (no corrections) = -4.75 eV/atom
Space-group type = No. 5

The following is a PBE calculation of an optimized crystal structure of Zn2CoNi, from the Alexandria database.

Cell: 5.9904 4.3557 2.6351 Å, 89.89 64.09 123.74°
Last column: magnetic moment on the atom in μB.
Element x y z (fractional)
1 Co 0.0000 0.5000 0.5000  1.11
2 Zn 0.5000 0.0000 0.5000  -0.02
3 Zn 0.0000 0.0000 0.0000  -0.02
4 Ni 0.5000 0.5000 0.0000  -0.02

Properties
Total moment = 1.026 μB per formula unit
Total DFT energy (no corrections) = -3.96 eV/atom
Space-group type = No. 12

The following is a PBE calculation of an optimized crystal structure of Zn8CoNi2, from the Alexandria database.

Cell: 4.0233 6.5541 6.7862 Å, 118.88 107.24 90.00°
Element x y z (fractional)
1 Zn 0.3535 0.5632 0.7069
2 Zn 0.6465 0.4368 0.2931
3 Zn 0.8510 0.8510 0.7019
4 Zn 0.3535 0.1438 0.7069
5 Zn 0.0000 0.6944 0.0000
6 Zn 0.1490 0.1490 0.2981
7 Zn 0.6465 0.8562 0.2931
8 Zn 0.0000 0.3056 0.0000
9 Ni 0.2058 0.7058 0.4115
10 Ni 0.7942 0.2942 0.5885
11 Co 0.5000 0.0000 0.0000

Properties
Total moment = 0.001 μB per formula unit
Total DFT energy (no corrections) = -2.74 eV/atom
Space-group type = No. 71

The following is a PBE calculation of an optimized crystal structure of Zn3CoNi12, from the Alexandria database.

Cell: 3.5633 3.5633 14.2433 Å, 90.00 90.00 90.00°
Last column: magnetic moment on the atom in μB.
Element x y z (fractional)
1 Ni 0.5000 0.5000 0.5000  0.42
2 Ni 0.5000 0.5000 0.7526  0.42
3 Ni 0.0000 0.5000 0.6262  0.41
4 Ni 0.5000 0.5000 0.2474  0.42
5 Ni 0.5000 0.0000 0.8798  0.60
6 Ni 0.5000 0.5000 0.0000  0.70
7 Ni 0.0000 0.5000 0.3738  0.41
8 Ni 0.0000 0.5000 0.8798  0.60
9 Ni 0.0000 0.5000 0.1202  0.60
10 Ni 0.5000 0.0000 0.1202  0.60
11 Ni 0.5000 0.0000 0.6262  0.41
12 Ni 0.5000 0.0000 0.3738  0.41
13 Co 0.0000 0.0000 0.0000  1.77
14 Zn 0.0000 0.0000 0.2484  -0.03
15 Zn 0.0000 0.0000 0.5000  -0.02
16 Zn 0.0000 0.0000 0.7516  -0.03

Properties
Total moment = 7.351 μB per formula unit
Total DFT energy (no corrections) = -5.11 eV/atom
Space-group type = No. 123

The following is a PBE calculation of an optimized crystal structure of ZnCoNi, from the Alexandria database.

Cell: 4.2013 7.6474 4.3904 Å, 90.00 90.00 90.00°
Last column: magnetic moment on the atom in μB.
Element x y z (fractional)
1 Co 0.0000 0.8371 0.9890  1.56
2 Co 0.0000 0.3371 0.4890  1.56
3 Co 0.0000 0.1629 0.9890  1.56
4 Co 0.0000 0.6629 0.4890  1.56
5 Ni 0.0000 0.5000 0.0007  0.39
6 Ni 0.0000 0.0000 0.5007  0.39
7 Ni 0.5000 0.5000 0.3377  0.31
8 Ni 0.5000 0.0000 0.8377  0.31
9 Zn 0.5000 0.6658 0.8364  -0.03
10 Zn 0.5000 0.3342 0.8364  -0.03
11 Zn 0.5000 0.1658 0.3364  -0.03
12 Zn 0.5000 0.8342 0.3364  -0.03

Properties
Total moment = 1.817 μB per formula unit
Total DFT energy (no corrections) = -4.74 eV/atom
Space-group type = No. 38

The following is a PBE calculation of an optimized crystal structure of ZnCoNi2, from the Alexandria database.

Cell: 2.5663 2.5663 6.9972 Å, 90.00 90.00 89.98°
Last column: magnetic moment on the atom in μB.
Element x y z (fractional)
1 Co 0.5000 0.5000 0.7500  1.80
2 Ni 0.0000 0.0000 0.9893  0.46
3 Ni 0.0000 0.0000 0.5107  0.46
4 Zn 0.5000 0.5000 0.2500  -0.02

Properties
Total moment = 2.593 μB per formula unit
Total DFT energy (no corrections) = -5.08 eV/atom
Space-group type = No. 123

The following is a PBE calculation of an optimized crystal structure of Zn2CoNi, from the Alexandria database.

Cell: 4.4801 4.4801 4.4801 Å, 131.82 131.82 70.51°
Last column: magnetic moment on the atom in μB.
Element x y z (fractional)
1 Zn 0.0000 0.0000 0.0000  -0.02
2 Zn 0.2500 0.7500 0.5000  -0.02
3 Co 0.5000 0.5000 0.0000  1.17
4 Ni 0.7500 0.2500 0.5000  0.26

Properties
Total moment = 1.355 μB per formula unit
Total DFT energy (no corrections) = -3.89 eV/atom
Space-group type = No. 119

The following is a PBE calculation of an optimized crystal structure of Zn4CoNi3, from the Alexandria database.

Cell: 2.9212 2.9212 11.2892 Å, 90.00 90.00 90.00°
Element x y z (fractional)
1 Ni 0.5000 0.5000 0.2500
2 Ni 0.5000 0.5000 0.7500
3 Ni 0.5000 0.5000 0.5000
4 Zn 0.0000 0.0000 0.6255
5 Zn 0.0000 0.0000 0.8767
6 Zn 0.0000 0.0000 0.3745
7 Zn 0.0000 0.0000 0.1233
8 Co 0.5000 0.5000 0.0000

Properties
Total moment = 0.000 μB per formula unit
Total DFT energy (no corrections) = -3.87 eV/atom
Space-group type = No. 123

The following is a PBE calculation of an optimized crystal structure of ZnCoNi2, from the Alexandria database.

Cell: 2.5503 2.5503 8.3369 Å, 81.20 81.20 60.00°
Last column: magnetic moment on the atom in μB.
Element x y z (fractional)
1 Zn 0.4999 0.4999 0.5003  -0.02
2 Ni 0.0809 0.0809 0.7573  0.55
3 Ni 0.2525 0.2525 0.2426  0.57
4 Co 0.6667 0.6667 0.9998  1.72

Properties
Total moment = 2.719 μB per formula unit
Total DFT energy (no corrections) = -5.02 eV/atom
Space-group type = No. 160

The following is a PBE calculation of an optimized crystal structure of ZnCoNi2, from the Alexandria database.

Cell: 2.5489 3.5084 5.1536 Å, 90.00 90.00 90.00°
Last column: magnetic moment on the atom in μB.
Element x y z (fractional)
1 Co 0.5000 0.5000 0.7675  1.53
2 Ni 0.0000 0.0000 0.9921  0.64
3 Ni 0.5000 0.5000 0.2458  0.25
4 Zn 0.0000 0.0000 0.4947  -0.03

Properties
Total moment = 2.298 μB per formula unit
Total DFT energy (no corrections) = -5.02 eV/atom
Space-group type = No. 25

The following is a PBE calculation of an optimized crystal structure of ZnCoNi, from the Alexandria database.

Cell: 2.5722 2.5721 12.3958 Å, 90.00 90.00 120.00°
Last column: magnetic moment on the atom in μB.
Element x y z (fractional)
1 Ni 0.2776 0.5553 0.8413  0.60
2 Ni 0.2776 0.5553 0.1587  0.60
3 Zn 0.6112 0.2225 0.3290  -0.02
4 Zn 0.6112 0.2225 0.6710  -0.02
5 Co 0.6110 0.2219 0.0000  1.76
6 Co 0.2779 0.5558 0.5000  1.55

Properties
Total moment = 2.153 μB per formula unit
Total DFT energy (no corrections) = -4.73 eV/atom
Space-group type = No. 187

The following is a PBE calculation of an optimized crystal structure of Zn2CoNi, from the Alexandria database.

Cell: 8.3893 8.3893 8.3893 Å, 18.03 18.03 18.03°
Last column: magnetic moment on the atom in μB.
Element x y z (fractional)
1 Co 0.2500 0.2500 0.2500  1.57
2 Zn 0.0010 0.0010 0.0010  0.00
3 Zn 0.4990 0.4990 0.4990  0.00
4 Ni 0.7500 0.7500 0.7500  0.29

Properties
Total moment = 1.819 μB per formula unit
Total DFT energy (no corrections) = -3.91 eV/atom
Space-group type = No. 166

The following is a PBE calculation of an optimized crystal structure of Zn2CoNi2, from the Alexandria database.

Cell: 3.3833 3.3833 6.3879 Å, 74.64 74.64 90.00°
Last column: magnetic moment on the atom in μB.
Element x y z (fractional)
1 Zn 0.7500 0.2500 0.5000  0.00
2 Zn 0.2500 0.7500 0.5000  0.00
3 Co 0.0000 0.0000 0.0000  2.06
4 Ni 0.4047 0.4047 0.1906  0.42
5 Ni 0.5953 0.5953 0.8094  0.42

Properties
Total moment = 2.800 μB per formula unit
Total DFT energy (no corrections) = -3.86 eV/atom
Space-group type = No. 139

The following is a PBE calculation of an optimized crystal structure of Zn6CoNi, from the Alexandria database.

Cell: 4.5233 6.0505 6.5014 Å, 42.05 63.64 74.31°
Element x y z (fractional)
1 Zn 0.3842 0.1157 0.1157
2 Zn 0.7468 0.2533 0.2533
3 Zn 0.1158 0.3843 0.3843
4 Zn 0.8842 0.6157 0.6157
5 Zn 0.6158 0.8843 0.8843
6 Zn 0.2532 0.7467 0.7467
7 Ni 0.0000 0.0000 0.0000
8 Co 0.5000 0.5000 0.5000

Properties
Total moment = 0.000 μB per formula unit
Total DFT energy (no corrections) = -2.62 eV/atom
Space-group type = No. 69

The following is a PBE calculation of an optimized crystal structure of Zn2CoNi8, from the Alexandria database.

Cell: 3.8165 5.9959 5.9959 Å, 105.69 90.07 90.07°
Last column: magnetic moment on the atom in μB.
Element x y z (fractional)
1 Ni 0.5000 0.7585 0.2415  0.43
2 Ni 0.4993 0.6705 0.6705  0.40
3 Ni 0.0010 0.2957 0.0369  0.51
4 Ni 0.5000 0.2415 0.7585  0.43
5 Ni 0.9990 0.9631 0.7043  0.51
6 Ni 0.5007 0.3295 0.3295  0.40
7 Ni 0.9990 0.7043 0.9631  0.51
8 Ni 0.0010 0.0369 0.2957  0.51
9 Zn 0.0000 0.6249 0.3751  -0.03
10 Zn 0.0000 0.3751 0.6249  -0.03
11 Co 0.5000 0.0000 0.0000  1.76

Properties
Total moment = 5.125 μB per formula unit
Total DFT energy (no corrections) = -4.93 eV/atom
Space-group type = No. 12

The following is a PBE calculation of an optimized crystal structure of ZnCo4Ni15, from the Alexandria database.

Cell: 3.5301 3.5301 17.5592 Å, 90.00 90.00 90.00°
Last column: magnetic moment on the atom in μB.
Element x y z (fractional)
1 Ni 0.5000 0.0000 0.6985  0.72
2 Ni 0.0000 0.5000 0.3015  0.72
3 Ni 0.0000 0.5000 0.5000  0.72
4 Ni 0.0000 0.5000 0.6985  0.72
5 Ni 0.0000 0.5000 0.8961  0.57
6 Ni 0.5000 0.5000 0.5994  0.74
7 Ni 0.5000 0.0000 0.3015  0.72
8 Ni 0.5000 0.0000 0.5000  0.72
9 Ni 0.0000 0.5000 0.1039  0.57
10 Ni 0.5000 0.5000 0.7976  0.69
11 Ni 0.5000 0.5000 0.0000  0.34
12 Ni 0.5000 0.5000 0.2024  0.69
13 Ni 0.5000 0.0000 0.1039  0.57
14 Ni 0.5000 0.0000 0.8961  0.57
15 Ni 0.5000 0.5000 0.4006  0.74
16 Co 0.0000 0.0000 0.4008  1.70
17 Co 0.0000 0.0000 0.5992  1.70
18 Co 0.0000 0.0000 0.2010  1.77
19 Co 0.0000 0.0000 0.7990  1.77
20 Zn 0.0000 0.0000 0.0000  -0.03

Properties
Total moment = 16.068 μB per formula unit
Total DFT energy (no corrections) = -5.84 eV/atom
Space-group type = No. 123

The following is a PBE calculation of an optimized crystal structure of Zn2CoNi, from the Alexandria database.

Cell: 4.0419 2.9293 4.0419 Å, 90.00 90.00 90.00°
Element x y z (fractional)
1 Ni 0.5000 0.6250 0.8744
2 Zn 0.0000 0.1250 0.8756
3 Zn 0.5000 0.1250 0.3745
4 Co 0.0000 0.6250 0.3756

Properties
Total moment = 0.000 μB per formula unit
Total DFT energy (no corrections) = -3.98 eV/atom
Space-group type = No. 123

The following is a PBE calculation of an optimized crystal structure of ZnCoNi, from the Alexandria database.

Cell: 4.4278 4.4278 4.4278 Å, 146.53 131.99 59.79°
Last column: magnetic moment on the atom in μB.
Element x y z (fractional)
1 Ni 0.3364 0.3364 0.0000  0.51
2 Zn 0.6671 0.6671 0.0000  -0.03
3 Co 0.9965 0.9965 0.0000  1.50

Properties
Total moment = 1.919 μB per formula unit
Total DFT energy (no corrections) = -4.74 eV/atom
Space-group type = No. 44

The following is a PBE calculation of an optimized crystal structure of Zn2CoNi, from the Alexandria database.

Cell: 2.6235 2.6235 8.3911 Å, 81.01 81.01 60.00°
Last column: magnetic moment on the atom in μB.
Element x y z (fractional)
1 Zn 0.2509 0.2509 0.2473  -0.01
2 Zn 0.0824 0.0824 0.7527  -0.01
3 Co 0.5000 0.5000 0.5001  1.48
4 Ni 0.6667 0.6667 0.9999  0.04

Properties
Total moment = 1.456 μB per formula unit
Total DFT energy (no corrections) = -3.90 eV/atom
Space-group type = No. 160

The following is a PBE calculation of an optimized crystal structure of ZnCoNi2, from the Alexandria database.

Cell: 8.3550 8.3550 8.3550 Å, 17.51 17.51 17.51°
Last column: magnetic moment on the atom in μB.
Element x y z (fractional)
1 Ni 0.0006 0.0006 0.0006  0.61
2 Ni 0.2518 0.2518 0.2518  0.28
3 Zn 0.5007 0.5007 0.5007  -0.02
4 Co 0.7469 0.7469 0.7469  1.56

Properties
Total moment = 2.355 μB per formula unit
Total DFT energy (no corrections) = -5.00 eV/atom
Space-group type = No. 160